Computed, not measured: crystalline Li6Mg8Zn at its relaxed geometry at the PBE-GGA level of DFT.

Geometry as CIF:
```
data_Li6Mg8Zn
_space_group_name_H-M_alt 'P -3'
_space_group_IT_number 147
_cell_length_a 8.4498
_cell_length_b 8.4498
_cell_length_c 5.3013
_cell_angle_alpha 90.00
_cell_angle_beta 90.00
_cell_angle_gamma 120.00
loop_
_space_group_symop_operation_xyz
'x,y,z'
'-x,-y,-z'
'-y,x-y,z'
'y,-x+y,-z'
'-x+y,-x,z'
'x-y,x,-z'
loop_
_atom_site_label
_atom_site_type_symbol
_atom_site_fract_x
_atom_site_fract_y
_atom_site_fract_z
_atom_site_occupancy
Li1 Li 0.0900 0.4615 0.2281 1
Mg1 Mg 0.0387 0.2676 0.7185 1
Mg2 Mg 0.3333 0.6667 0.7195 1
Zn1 Zn 0.0000 0.0000 0.0000 1
```

Output
**Formation energy**: 0.02 eV/atom
**Energy relative to the lowest polymorph listed for this composition**: 2 meV/atom
**Fermi-level density of states**: 5.7 states/eV/cell

Computed, not measured: crystalline NbVI2 at its relaxed geometry at the PBE-GGA level of DFT.

Geometry as CIF:
```
data_NbVI2
_space_group_name_H-M_alt 'F m -3 m'
_space_group_IT_number 225
_space_group_name_Hall '-F 4 2 3'
_cell_length_a 6.978
_cell_length_b 6.978
_cell_length_c 6.978
_cell_angle_alpha 90.00
_cell_angle_beta 90.00
_cell_angle_gamma 90.00
loop_
_atom_site_label
_atom_site_type_symbol
_atom_site_fract_x
_atom_site_fract_y
_atom_site_fract_z
_atom_site_occupancy
Nb1 Nb 0.000 0.000 0.000 1
V1 V 0.000 0.000 0.500 1
I1 I 0.250 0.250 0.250 1
```

Output
**Formation energy from raw total energies**: 2.57 eV per formula unit
**Energy relative to the lowest polymorph listed for this composition**: 0 meV/atom
**Fermi-level density of states**: 15.6 states/eV/cell